## SrSn2Au (GGA-PBE)

Data for an optimized crystal structure of SrSn2Au.

**DFT total energy**: -3.575 eV per atom
**Size of the total moment**: 0.000 μB per atom

```
data_SrSn2Au
_cell_length_a 4.839
_cell_length_b 4.839
_cell_length_c 20.754
_cell_angle_alpha 90.00
_cell_angle_beta 90.00
_cell_angle_gamma 90.00
_symmetry_space_group_name_H-M 'I -4 2 d'
_symmetry_Int_Tables_number 122
_symmetry_space_group_name_Hall 'I -4 2bw'
loop_
_atom_site_label
_atom_site_type_symbol
_atom_site_fract_x
_atom_site_fract_y
_atom_site_fract_z
_atom_site_occupancy
Sr1 Sr 0.000 0.000 0.000 1
Sn1 Sn 0.172 0.250 0.625 1
Au1 Au 0.000 0.000 0.500 1
```